Material: GdDyAu2O4
Method: DFT, GGA-PBE
State: relaxed

Properties
DFT total energy   -0.49084 Ry per atom
Magnetization   0.0 μB/cell

POSCAR file:
```
GdDyAu2O4
1.0
-0.810 -3.271 1.146
2.711 1.780 1.468
-7.613 4.778 8.260
Au Dy Gd O
2 1 1 4
Direct
0.333 0.667 0.249
0.667 0.333 0.751
0.000 0.000 0.000
0.000 0.000 0.500
0.333 0.667 0.082
0.333 0.667 0.416
0.667 0.333 0.584
0.667 0.333 0.918
```

Material: Li2NiAgH6
Method: DFT, GGA-PBE
State: relaxed

Properties
DFT total energy   -0.24674 Ry per atom
Magnetization   0.0 μB/cell

POSCAR file:
```
Li2NiAgH6
1.0
4.632 -0.296 1.415
1.078 -0.346 4.719
1.728 -4.164 1.795
Ag H Li Ni
1 6 2 1
Direct
0.500 0.500 0.500
0.771 0.229 0.229
0.229 0.771 0.229
0.771 0.771 0.229
0.771 0.229 0.771
0.229 0.771 0.771
0.229 0.229 0.771
0.250 0.250 0.250
0.750 0.750 0.750
0.000 0.000 0.000
```

Material: LiMg2Ir
Method: DFT, GGA-PBE
State: relaxed

Properties
DFT total energy   -0.25917 Ry per atom
Magnetization   0.0 μB/cell

POSCAR file:
```
LiMg2Ir
1.0
2.215 -3.837 0.000
2.215 3.837 0.000
0.000 0.000 7.943
Ir Li Mg
2 2 4
Direct
0.333 0.667 0.250
0.667 0.333 0.750
0.000 0.000 0.000
0.000 0.000 0.500
0.667 0.333 0.091
0.667 0.333 0.409
0.333 0.667 0.591
0.333 0.667 0.909
```

Material: TcN2
Method: DFT, GGA-PBE
State: relaxed

Properties
Offset from the most stable computed form   2247.0 meV per atom
Magnetization   0.0 μB/cell

POSCAR file:
```
TcN2
1.0
-3.116 -2.916 -0.060
-3.885 0.998 1.457
-3.260 0.415 -2.724
N Tc
4 2
Direct
0.625 0.625 0.125
0.625 0.125 0.625
0.125 0.625 0.625
0.625 0.625 0.625
0.000 0.000 0.000
0.250 0.250 0.250
```

Material: BaAlGa2Pd2
Method: DFT, GGA-PBE
State: relaxed

Properties
DFT total energy   -0.32058 Ry per atom

POSCAR file:
```
BaAlGa2Pd2
1.0
-0.436 5.184 -4.327
-0.581 -2.822 -6.123
-5.568 -0.020 0.538
Al Ba Ga Pd
2 2 4 4
Direct
0.428 0.572 0.250
0.572 0.428 0.750
0.847 0.153 0.250
0.153 0.847 0.750
0.028 0.590 0.250
0.410 0.972 0.250
0.590 0.028 0.750
0.972 0.410 0.750
0.304 0.304 0.000
0.696 0.696 0.000
0.304 0.304 0.500
0.696 0.696 0.500
```

Material: LaLuBePt
Method: DFT, GGA-PBE
State: relaxed

Properties
Offset from the most stable computed form   198.8 meV per atom
Magnetization   0.0 μB/cell

POSCAR file:
```
LaLuBePt
1.0
0.000 3.404 3.404
3.404 0.000 3.404
3.404 3.404 0.000
Be La Lu Pt
1 1 1 1
Direct
0.750 0.750 0.750
0.250 0.250 0.250
0.000 0.000 0.000
0.500 0.500 0.500
```

Material: Zn2Os
Method: DFT, GGA-PBE
State: relaxed

Properties
Energy relative to the elements   1684 meV per atom
Magnetization   0.0 μB/cell

POSCAR file:
```
Zn2Os
1.0
-6.392 -4.497 0.563
-5.789 2.014 4.881
-6.838 2.533 -2.867
Os Zn
2 4
Direct
0.250 0.250 0.250
0.500 0.500 0.500
0.875 0.375 0.375
0.375 0.875 0.375
0.375 0.375 0.375
0.375 0.375 0.875
```

Material: PuTa
Method: DFT, GGA-PBE
State: relaxed

Properties
Energy relative to the elements   920 meV per atom
Offset from the most stable computed form   476.4 meV per atom
Magnetization   10.9 μB/cell

POSCAR file:
```
PuTa
1.0
-2.381 -3.893 -0.109
1.520 1.855 -3.884
4.646 -2.855 0.455
Pu Ta
2 2
Direct
0.667 0.333 0.250
0.333 0.667 0.750
0.000 0.000 0.000
0.000 0.000 0.500
```

Material: Al3Au8
Method: DFT, GGA-PBE
State: relaxed

Properties
DFT total energy   -0.27030 Ry per atom

POSCAR file:
```
Al3Au8
1.0
14.062 -4.733 1.221
14.280 1.022 -4.082
14.195 2.738 3.555
Al Au
12 32
Direct
0.000 0.000 0.000
0.434 0.750 0.066
0.156 0.156 0.156
0.934 0.566 0.250
0.344 0.344 0.344
0.750 0.066 0.434
0.500 0.500 0.500
0.250 0.934 0.566
0.656 0.656 0.656
0.066 0.434 0.750
0.844 0.844 0.844
0.566 0.250 0.934
0.650 0.294 0.005
0.063 0.063 0.063
0.851 0.377 0.115
0.649 0.385 0.123
0.623 0.885 0.149
0.505 0.794 0.150
0.850 0.495 0.206
0.217 0.217 0.217
0.283 0.283 0.283
0.005 0.650 0.294
0.706 0.995 0.350
0.615 0.877 0.351
0.115 0.851 0.377
0.123 0.649 0.385
0.437 0.437 0.437
0.206 0.850 0.495
0.794 0.150 0.505
0.563 0.563 0.563
0.877 0.351 0.615
0.885 0.149 0.623
0.385 0.123 0.649
0.294 0.005 0.650
0.995 0.350 0.706
0.717 0.717 0.717
0.783 0.783 0.783
0.150 0.505 0.794
0.495 0.206 0.850
0.377 0.115 0.851
0.351 0.615 0.877
0.149 0.623 0.885
0.937 0.937 0.937
0.350 0.706 0.995
```

Material: ThNb6Au
Method: DFT, GGA-PBE
State: relaxed

Properties
Energy relative to the elements   209 meV per atom
Magnetization   0.0 μB/cell

POSCAR file:
```
ThNb6Au
1.0
4.191 2.420 2.679
-4.191 2.420 2.679
0.000 -4.839 2.679
Au Nb Th
1 6 1
Direct
0.500 0.500 0.500
0.439 0.728 0.050
0.950 0.561 0.272
0.728 0.050 0.439
0.272 0.950 0.561
0.050 0.439 0.728
0.561 0.272 0.950
0.000 0.000 0.000
```

Material: LiZnCdAg
Method: DFT, GGA-PBE
State: relaxed

Properties
Offset from the most stable computed form   18.1 meV per atom

POSCAR file:
```
LiZnCdAg
1.0
0.000 3.247 3.247
3.247 0.000 3.247
3.247 3.247 0.000
Ag Cd Li Zn
1 1 1 1
Direct
0.250 0.250 0.250
0.500 0.500 0.500
0.750 0.750 0.750
0.000 0.000 0.000
```

Material: RbDy2Cu3Te4S
Method: DFT, GGA-PBE
State: relaxed

Properties
DFT total energy   -0.32123 Ry per atom
Magnetization   0.0 μB/cell

POSCAR file:
```
RbDy2Cu3Te4S
1.0
2.082 1.849 7.531
-3.202 -5.244 -5.169
15.921 -7.100 -2.659
Cu Dy Rb S Te
6 4 2 2 8
Direct
0.084 0.916 0.021
0.830 0.170 0.250
0.084 0.916 0.479
0.916 0.084 0.521
0.170 0.830 0.750
0.916 0.084 0.979
0.306 0.694 0.102
0.306 0.694 0.398
0.694 0.306 0.602
0.694 0.306 0.898
0.573 0.427 0.250
0.427 0.573 0.750
0.264 0.736 0.250
0.736 0.264 0.750
0.664 0.336 0.071
0.945 0.055 0.124
0.945 0.055 0.376
0.664 0.336 0.429
0.336 0.664 0.571
0.055 0.945 0.624
0.055 0.945 0.876
0.336 0.664 0.929
```

Material: Pm2CuF8
Method: DFT, GGA-PBE
State: relaxed

Properties
DFT total energy   -0.43315 Ry per atom
Magnetization   1.0 μB/cell

POSCAR file:
```
Pm2CuF8
1.0
4.765 -3.575 0.000
4.765 3.575 0.000
-1.377 0.000 4.273
F Pm Cu
8 2 1
Direct
0.584 0.584 0.808
0.416 0.416 0.192
0.960 0.344 0.255
0.344 0.960 0.255
0.882 0.882 0.258
0.118 0.118 0.742
0.656 0.040 0.745
0.040 0.656 0.745
0.676 0.676 0.379
0.324 0.324 0.621
0.000 0.000 0.000
```

Material: LiCoReSn
Method: DFT, GGA-PBE
State: relaxed

Properties
Offset from the most stable computed form   0.0 meV per atom
Magnetization   2.9 μB/cell

POSCAR file:
```
LiCoReSn
1.0
0.000 3.039 3.039
3.039 0.000 3.039
3.039 3.039 0.000
Co Li Re Sn
1 1 1 1
Direct
0.750 0.750 0.750
0.250 0.250 0.250
0.500 0.500 0.500
0.000 0.000 0.000
```

Material: LaInFeS3
Method: DFT, GGA-PBE
State: relaxed

Properties
DFT total energy   -0.42081 Ry per atom
Magnetization   8.0 μB/cell

POSCAR file:
```
LaInFeS3
1.0
6.940 -2.048 0.000
6.940 2.048 0.000
0.000 0.000 11.115
Fe In La S
2 2 2 6
Direct
0.474 0.474 0.250
0.526 0.526 0.750
0.753 0.753 0.250
0.247 0.247 0.750
0.000 0.000 0.000
0.000 0.000 0.500
0.373 0.373 0.087
0.060 0.060 0.250
0.373 0.373 0.413
0.627 0.627 0.587
0.940 0.940 0.750
0.627 0.627 0.913
```

Material: NbAlCuHg
Method: DFT, GGA-PBE
State: relaxed

Properties
Offset from the most stable computed form   0.0 meV per atom
Magnetization   1.2 μB/cell

POSCAR file:
```
NbAlCuHg
1.0
0.000 3.244 3.244
3.244 0.000 3.244
3.244 3.244 0.000
Al Cu Hg Nb
1 1 1 1
Direct
0.000 0.000 0.000
0.750 0.750 0.750
0.500 0.500 0.500
0.250 0.250 0.250
```

Material: CsHfCuSeS2
Method: DFT, GGA-PBE
State: relaxed

Properties
DFT total energy   -0.37312 Ry per atom
Magnetization   0.7 μB/cell

POSCAR file:
```
CsHfCuSeS2
1.0
-6.824 -0.201 7.397
2.407 -2.333 2.157
3.963 7.662 3.864
Cs Cu Hf S Se
2 2 2 4 2
Direct
0.250 0.000 0.451
0.750 0.000 0.549
0.750 0.000 0.158
0.250 0.000 0.842
0.000 0.000 0.000
0.500 0.000 0.000
0.551 0.000 0.253
0.949 0.000 0.253
0.051 0.000 0.747
0.449 0.000 0.747
0.250 0.000 0.091
0.750 0.000 0.909
```

Material: DyCoPb
Method: DFT, GGA-PBE
State: relaxed

Properties
DFT total energy   -0.33469 Ry per atom
Magnetization   1.3 μB/cell

POSCAR file:
```
DyCoPb
1.0
-3.892 -0.299 2.726
-2.466 3.930 1.068
-4.304 0.702 -1.911
Co Dy Pb
1 1 1
Direct
0.250 0.250 0.250
0.000 0.000 0.000
0.750 0.750 0.750
```

Material: Y3Ho2Ga3
Method: DFT, GGA-PBE
State: relaxed

Properties
Offset from the most stable computed form   0.0 meV per atom
Magnetization   0.0 μB/cell

POSCAR file:
```
Y3Ho2Ga3
1.0
5.506 0.000 0.000
0.000 3.649 5.089
0.000 -3.649 5.089
Ga Ho Y
3 2 3
Direct
0.500 0.172 0.172
0.000 0.746 0.395
0.000 0.395 0.746
0.000 0.266 0.266
0.500 0.679 0.679
0.500 0.688 0.186
0.500 0.186 0.688
0.000 0.868 0.868
```

Material: Lu2ZrNi
Method: DFT, GGA-PBE
State: relaxed

Properties
Energy relative to the elements   182 meV per atom
Magnetization   0.0 μB/cell

POSCAR file:
```
Lu2ZrNi
1.0
2.473 1.428 4.039
-2.473 1.428 4.039
0.000 -2.856 4.039
Lu Ni Zr
2 1 1
Direct
0.000 0.000 0.000
0.250 0.250 0.250
0.750 0.750 0.750
0.500 0.500 0.500
```